[1]
Below is a relaxed structure of CoHPb3, with properties calculated at the PBE level.

abc: 4.777 4.777 4.777
angles: 90.00 90.00 90.00
Space group Pm-3m (No. 221)
Unique sites:
Co1 0.000 0.000 0.000
H1 0.500 0.500 0.500
Pb1 0.000 0.500 0.500

Output
Polymorph energy (0 for the lowest one) (meV per atom): 89
D(E_F) (states/eV/atom): 1.09
Magnetization (μB per formula unit): 1.713

***

[2]
Below is a relaxed structure of CoH2Pb, with properties calculated at the PBE level.

abc: 4.611 4.611 8.874
angles: 90.00 90.00 90.00
Space group I-42d (No. 122)
Unique sites:
Co1 0.000 0.000 0.000
H1 0.002 0.750 0.125
Pb1 0.000 0.000 0.500

Output
Polymorph energy (0 for the lowest one) (meV per atom): 0
D(E_F) (states/eV/atom): 0.85
Magnetization (μB per formula unit): 0.000

***

[3]
Below is a relaxed structure of Co2HPb, with properties calculated at the PBE level.

abc: 5.116 5.116 7.674
angles: 90.00 90.00 90.00
Space group I-42d (No. 122)
Unique sites:
Co1 0.047 0.250 0.125
H1 0.000 0.000 0.000
Pb1 0.000 0.000 0.500

Output
Polymorph energy (0 for the lowest one) (meV per atom): 0
D(E_F) (states/eV/atom): 1.19
Magnetization (μB per formula unit): 0.988